1.
Material: K5Rb4Se
Method: DFT, PBE
State: optimized geometry

Values from the calculation:
DOS at the Fermi energy: 0.54 states/eV per atom

```
10
Lattice="6.194 0.000 2.145 3.097 10.406 1.073 -0.309 0.000 10.906" Properties=species:S:1:pos:R:3 pbc="T T T"
Se 6.187 0.000 2.143
K 0.742 0.000 7.851
K 3.090 0.000 1.070
K 8.227 10.406 6.268
K 6.187 3.230 2.143
K 2.781 7.176 11.976
Rb 3.905 3.432 8.733
Rb 5.064 6.974 5.387
Rb 1.967 3.433 4.314
Rb 7.002 6.973 9.805
```

***

2.
Material: K4Rb2Se
Method: DFT, PBE
State: optimized geometry

Values from the calculation:
DOS at the Fermi energy: 0.57 states/eV per atom

```
7
Lattice="6.351 0.000 0.000 0.000 6.351 0.000 3.175 3.175 12.731" Properties=species:S:1:pos:R:3 pbc="T T T"
K 3.175 3.175 9.566
K 6.351 6.351 3.165
K 3.175 0.000 0.000
K 0.000 3.175 0.000
Rb 3.175 3.175 4.923
Rb 6.351 6.351 7.809
Se 0.000 0.000 0.000
```

***

3.
Material: K3Rb12Se5
Method: DFT, PBE
State: optimized geometry

Values from the calculation:
DOS at the Fermi energy: 0.48 states/eV per atom

```
80
Lattice="-8.917 -3.753 16.764 13.578 -13.410 -3.229 8.270 17.478 0.863" Properties=species:S:1:pos:R:3 pbc="T T T"
Rb 5.594 -9.388 6.236
Rb 12.322 -10.911 -1.292
Rb 7.337 -0.811 4.055
Rb 9.524 7.590 4.679
Rb 17.729 4.130 3.240
Rb 3.205 0.432 1.060
Rb 9.727 -0.117 13.338
Rb -1.934 5.724 15.485
Rb 9.678 0.548 8.253
Rb 1.281 5.267 11.355
Rb 10.290 5.732 8.842
Rb 8.363 -8.288 0.954
Rb 5.029 -15.200 10.780
Rb 13.721 3.969 -1.308
Rb 7.422 4.549 14.054
Rb 12.268 8.833 -0.585
Rb 12.585 -0.763 -0.185
Rb 3.408 -7.275 9.719
Rb 6.185 -3.020 8.384
Rb 5.236 10.074 3.361
Rb 7.696 -9.760 11.036
Rb 2.843 -2.670 12.422
Rb -1.190 -2.688 7.893
Rb -0.789 -3.654 15.706
Rb -0.980 4.007 7.083
Rb 5.594 1.126 10.342
Rb 6.747 3.335 6.014
Rb 5.509 -4.234 0.344
Rb 10.400 -7.244 7.300
Rb 7.338 9.703 8.161
Rb 5.767 5.918 1.409
Rb 10.088 2.984 1.976
Rb 13.911 -3.692 7.314
Rb 14.122 3.003 6.505
Rb 0.610 11.225 15.690
Rb 3.254 -0.233 6.145
Rb 2.642 -5.417 5.555
Rb 11.651 -4.952 3.043
Rb 2.532 7.559 7.097
Rb -4.798 -3.815 11.158
Rb 4.569 8.603 13.443
Rb 7.165 -5.603 12.989
Rb 0.347 1.078 14.582
Rb 0.663 -8.519 14.982
Rb 7.903 15.515 3.618
Rb 14.866 -5.409 -1.087
Rb 16.698 -0.647 4.271
Rb -3.766 0.962 10.127
K 3.415 -11.157 12.355
K 13.494 5.974 2.928
K 12.009 -0.541 4.404
K -4.037 -0.590 14.481
K 7.210 -5.419 4.484
K -0.562 -5.659 11.470
K 9.517 11.472 2.043
K 16.969 0.905 -0.083
K 5.722 5.734 9.914
K 10.362 -3.625 10.287
K 0.923 0.856 9.994
K 2.570 3.940 4.111
Se -4.458 -1.876 8.382
Se 6.045 -1.128 1.100
Se 10.685 -10.487 1.473
Se 12.170 -3.973 -0.003
Se 6.887 1.443 13.297
Se 0.761 4.287 14.400
Se 6.466 0.157 7.199
Se 8.032 4.957 3.519
Se 4.135 8.739 0.431
Se 4.556 10.025 6.530
Se 10.924 2.034 -1.183
Se 4.900 -4.642 10.878
Se 1.085 -2.575 5.587
Se 11.847 2.890 8.811
Se -0.323 6.863 8.813
Se 6.789 -6.705 -1.614
Se 8.375 -9.710 7.868
Se 2.331 -8.582 6.768
Se 0.000 0.000 0.000
Se 2.246 10.802 12.924
```

***

4.
Material: KRbSe
Method: DFT, PBE
State: optimized geometry

```
3
Lattice="4.590 0.000 0.000 0.000 4.590 0.000 -2.295 -2.295 5.017" Properties=species:S:1:pos:R:3 pbc="T T T"
Se 2.295 2.295 4.508
Rb 2.295 2.295 1.055
K 0.000 0.000 2.965
```

***

5.
Material: K3RbSe2
Method: DFT, PBE
State: optimized geometry

Values from the calculation:
DOS at the Fermi energy: 0.00 states/eV per atom

```
12
Lattice="5.116 0.000 0.000 0.000 8.482 0.000 0.000 0.000 9.986" Properties=species:S:1:pos:R:3 pbc="T T T"
K 0.000 7.236 6.781
K 0.000 8.276 0.795
K 0.000 4.035 9.190
K 2.558 1.237 8.236
K 0.000 2.995 3.205
K 2.558 5.478 1.749
Rb 2.558 4.459 5.732
Rb 2.558 0.218 4.254
Se 0.000 6.304 3.606
Se 2.558 6.417 8.646
Se 0.000 2.062 6.379
Se 2.558 2.175 1.340
```

***

6.
Material: KRbSe3
Method: DFT, PBE
State: optimized geometry

Values from the calculation:
DOS at the Fermi energy: 1.95 states/eV per atom
E above lowest polymorph: 0.620 eV/f.u.

```
5
Lattice="-5.746 1.179 2.294 -2.312 -4.835 -3.307 1.142 -3.859 4.844" Properties=species:S:1:pos:R:3 pbc="T T T"
K -3.458 -3.758 1.915
Se 0.571 -1.930 2.422
Se -1.156 -2.418 -1.653
Se -2.873 0.589 1.147
Rb 0.000 0.000 0.000
```

***

7.
Material: K4Rb3Se
Method: DFT, PBE
State: optimized geometry

Values from the calculation:
DOS at the Fermi energy: 0.64 states/eV per atom

```
16
Lattice="8.928 0.000 0.000 0.000 8.027 0.000 0.000 0.000 14.705" Properties=species:S:1:pos:R:3 pbc="T T T"
Rb 7.342 4.014 3.345
Rb 7.342 4.014 11.360
Rb 1.586 0.000 10.698
Rb 4.061 4.014 7.353
Rb 4.867 0.000 0.000
Rb 1.586 0.000 4.007
Se 6.152 4.014 0.000
Se 2.775 0.000 7.353
K 5.378 0.000 5.305
K 3.550 4.014 12.658
K 8.744 2.023 0.000
K 8.744 6.004 0.000
K 0.184 6.037 7.353
K 3.550 4.014 2.047
K 5.378 0.000 9.400
K 0.184 1.991 7.353
```

***

8.
Material: KRb2Se
Method: DFT, PBE
State: optimized geometry

Values from the calculation:
DOS at the Fermi energy: 1.38 states/eV per atom

```
4
Lattice="5.223 0.000 0.000 2.611 4.523 0.000 2.611 1.508 12.650" Properties=species:S:1:pos:R:3 pbc="T T T"
Rb 2.611 1.508 7.763
Rb 7.834 4.523 4.887
Se 5.223 3.015 6.325
K 0.000 0.000 0.000
```

***

Formation energy (no corrections) across the listed records, respectively: -283.5; -400.8; -580.9; -918.7; -1079.0; 220.7; -319.4; -623.4 meV/atom.